11
Lattice="-2.1279 4.4159 13.1277 2.1279 -4.4159 13.1277 2.1279 4.4159 -13.1277" Properties=species:S:1:pos:R:3 comment="Pr4Te2I5 (PBE, relaxed)" sg="No. 71" e_form_raw_kj_per_mol_fu=-861 energy_ev_per_atom=-3.825 pbc="T T T"
Pr 0.0000 0.0000 3.4762
Pr 2.1279 1.8124 0.0000
Pr 0.0000 2.6035 13.1277
Pr 0.0000 0.0000 22.7792
Te 0.0000 0.0000 6.3308
Te 0.0000 0.0000 19.9246
I 2.1279 2.3834 -3.1308
I 2.1279 2.3834 3.1308
I 0.0000 4.4159 0.0000
I 0.0000 2.0325 9.9969
I 0.0000 2.0325 16.2584

11
Lattice="-2.2476 4.5003 9.5838 2.2476 -4.5003 9.5838 2.2476 4.5003 -9.5838" Properties=species:S:1:pos:R:3 comment="Pr4Te4I3 (PBE, relaxed)" sg="No. 71" e_form_raw_kj_per_mol_fu=-1350 energy_ev_per_atom=-4.575 pbc="T T T"
Pr 0.0000 0.0000 4.4347
Pr 2.2476 2.5893 0.0000
Pr 0.0000 1.9111 9.5838
Pr 0.0000 0.0000 14.7330
Te 2.2476 1.8989 -3.1609
Te 2.2476 1.8989 3.1609
Te 0.0000 2.6014 6.4230
Te 0.0000 2.6014 12.7447
I 0.0000 0.0000 0.0000
I 2.2476 0.0000 7.8867
I 0.0000 4.5003 1.6971